# LiSc2WO6, optimized geometry, DFT GGA+U
data_LiSc2WO6
_chemical_formula_sum 'Li1 Sc2 W1 O6'
_symmetry_space_group_name_H-M 'P 1'
_symmetry_Int_Tables_number 1
_cell_length_a 5.295
_cell_length_b 5.340
_cell_length_c 5.713
_cell_angle_alpha 62.24
_cell_angle_beta 63.14
_cell_angle_gamma 60.40
loop_
_symmetry_equiv_pos_as_xyz
'x,y,z'
loop_
_atom_site_label
_atom_site_type_symbol
_atom_site_fract_x
_atom_site_fract_y
_atom_site_fract_z
Li1 Li 0.000 0.000 0.000
Sc1 Sc 0.224 0.212 0.327
Sc2 Sc 0.725 0.734 0.814
W1 W 0.521 0.526 0.420
O1 O 0.132 0.798 0.616
O2 O 0.330 0.602 0.149
O3 O 0.430 0.137 0.619
O4 O 0.601 0.918 0.134
O5 O 0.782 0.447 0.614
O6 O 0.910 0.332 0.141
# * calculated total energy: -7.93 eV per atom
# * DOS at the Fermi energy: 0.0 states/eV/f.u.
# * spin magnetization: 1.00 μB per formula unit